! PBE PuNpBiSb, optimized geometry; values from VASP
&SYSTEM
  ibrav = 0, nat = 4, ntyp = 4
/
ATOMIC_SPECIES
Pu 244.00 Pu.upf
Np 237.00 Np.upf
Bi 208.98 Bi.upf
Sb 121.76 Sb.upf
CELL_PARAMETERS angstrom
0.0000 3.7972 3.7972
3.7972 0.0000 3.7972
3.7972 3.7972 0.0000
ATOMIC_POSITIONS angstrom
Pu 0.0000 0.0000 0.0000
Np 3.7972 3.7972 3.7972
Bi 1.8986 1.8986 1.8986
Sb 5.6958 5.6958 5.6958
! Raw total energy: -36.1 eV per cell
! E_form (uncorrected): -0.2140 eV/atom

***

! PBE K2BiPtI, optimized geometry; values from VASP
&SYSTEM
  ibrav = 0, nat = 5, ntyp = 4
/
ATOMIC_SPECIES
K 39.10 K.upf
Bi 208.98 Bi.upf
Pt 195.08 Pt.upf
I 126.90 I.upf
CELL_PARAMETERS angstrom
6.9454 0.0000 0.0000
0.0000 6.9454 0.0000
0.0000 0.0000 4.9939
ATOMIC_POSITIONS angstrom
K 0.0000 3.4727 0.0000
K 3.4727 0.0000 0.0000
Bi 0.0000 0.0000 0.0000
Pt 0.0000 0.0000 2.4970
I 3.4727 3.4727 2.4970
! Raw total energy: -15.3 eV per cell
! E_form (uncorrected): -0.3198 eV/atom

***

! PBE CuPCl2, optimized geometry; values from VASP
&SYSTEM
  ibrav = 0, nat = 4, ntyp = 3
/
ATOMIC_SPECIES
Cu 63.55 Cu.upf
P 30.97 P.upf
Cl 35.45 Cl.upf
CELL_PARAMETERS angstrom
0.0000 3.2715 3.2715
3.2715 0.0000 3.2715
3.2715 3.2715 0.0000
ATOMIC_POSITIONS angstrom
Cu 0.0000 0.0000 0.0000
P 3.2715 3.2715 3.2715
Cl 1.6358 1.6358 1.6358
Cl 4.9073 4.9073 4.9073
! Raw total energy: -10.5 eV per cell
! E_form (uncorrected): 0.6635 eV/atom

***

! PBE AcPmYHo, optimized geometry; values from VASP
&SYSTEM
  ibrav = 0, nat = 4, ntyp = 4
/
ATOMIC_SPECIES
Ac 227.00 Ac.upf
Pm 145.00 Pm.upf
Y 88.91 Y.upf
Ho 164.93 Ho.upf
CELL_PARAMETERS angstrom
0.0000 4.1497 4.1497
4.1497 0.0000 4.1497
4.1497 4.1497 0.0000
ATOMIC_POSITIONS angstrom
Ac 0.0000 0.0000 0.0000
Pm 4.1497 4.1497 4.1497
Y 2.0749 2.0749 2.0749
Ho 6.2246 6.2246 6.2246
! Formation energy: 109 meV per atom
! Raw total energy: -19.5 eV per cell

***

! PBE ScPbSe, optimized geometry; values from VASP
&SYSTEM
  ibrav = 0, nat = 3, ntyp = 3
/
ATOMIC_SPECIES
Sc 44.96 Sc.upf
Pb 207.20 Pb.upf
Se 78.96 Se.upf
CELL_PARAMETERS angstrom
-1.7921 1.7921 5.8092
1.7921 -1.7921 5.8092
1.7921 1.7921 -5.8092
ATOMIC_POSITIONS angstrom
Sc 0.0000 0.0000 0.0000
Pb 0.0000 0.0000 3.5628
Se 0.0000 0.0000 6.7366
! Raw total energy: -16.1 eV per cell
! E_form (uncorrected): -0.8714 eV/atom

***

! PBE LiMoP, optimized geometry; values from VASP
&SYSTEM
  ibrav = 0, nat = 3, ntyp = 3
/
ATOMIC_SPECIES
Li 6.94 Li.upf
Mo 95.94 Mo.upf
P 30.97 P.upf
CELL_PARAMETERS angstrom
0.0000 2.8039 2.8039
2.8039 0.0000 2.8039
2.8039 2.8039 0.0000
ATOMIC_POSITIONS angstrom
Li 0.0000 0.0000 0.0000
Mo 2.8039 2.8039 2.8039
P 4.2058 4.2058 4.2058
! Formation energy: -224 meV per atom
! Raw total energy: -18.8 eV per cell

***

! PBE MgGaS2, optimized geometry; values from VASP
&SYSTEM
  ibrav = 0, nat = 8, ntyp = 3
/
ATOMIC_SPECIES
Mg 24.30 Mg.upf
Ga 69.72 Ga.upf
S 32.06 S.upf
CELL_PARAMETERS angstrom
-2.8419 2.8419 6.0346
2.8419 -2.8419 6.0346
2.8419 2.8419 -6.0346
ATOMIC_POSITIONS angstrom
Mg 0.0000 0.0000 0.0000
Mg 0.0000 2.8419 3.0173
Ga 2.8419 0.0000 3.0173
Ga 0.0000 0.0000 6.0346
S 4.2628 1.3968 -1.5086
S 1.3968 1.4209 1.5086
S -1.4209 1.4451 4.5259
S 1.4451 1.4209 7.5432
! Raw total energy: -31.8 eV per cell
! E_form (uncorrected): -0.7557 eV/atom

***

! PBE YPu2Al, optimized geometry; values from VASP
&SYSTEM
  ibrav = 0, nat = 4, ntyp = 3
/
ATOMIC_SPECIES
Y 88.91 Y.upf
Pu 244.00 Pu.upf
Al 26.98 Al.upf
CELL_PARAMETERS angstrom
3.9762 0.0000 0.0000
0.0000 3.9762 0.0000
0.0000 0.0000 6.5148
ATOMIC_POSITIONS angstrom
Y 0.0000 0.0000 0.0000
Pu 1.9881 1.9881 1.8146
Pu 1.9881 1.9881 4.7002
Al 0.0000 0.0000 3.2574
! Formation energy: 66 meV per atom
! Raw total energy: -38.6 eV per cell

***

! PBE CoBr, optimized geometry; values from VASP
&SYSTEM
  ibrav = 0, nat = 4, ntyp = 2
/
ATOMIC_SPECIES
Co 58.93 Co.upf
Br 79.90 Br.upf
CELL_PARAMETERS angstrom
3.6370 0.0000 0.0000
0.0000 4.0757 0.0000
0.0000 0.0000 7.6539
ATOMIC_POSITIONS angstrom
Co 0.9092 0.0000 0.6647
Co 2.7277 0.0000 6.9892
Br 0.9092 2.0379 1.8246
Br 2.7277 2.0379 5.8293
! Raw total energy: -16.9 eV per cell
! E_form (uncorrected): 0.1639 eV/atom

***

! PBE Nd2Y12Er, optimized geometry; values from VASP
&SYSTEM
  ibrav = 0, nat = 15, ntyp = 3
/
ATOMIC_SPECIES
Nd 144.24 Nd.upf
Y 88.91 Y.upf
Er 167.26 Er.upf
CELL_PARAMETERS angstrom
3.5472 0.0000 0.0000
0.0000 5.7063 0.0000
0.0000 0.0000 24.8981
ATOMIC_POSITIONS angstrom
Nd 0.0000 0.0000 5.7996
Nd 0.0000 0.0000 19.0984
Y 0.0000 2.8532 1.5363
Y 0.0000 2.8532 10.5560
Y 0.0000 2.8532 14.3421
Y 0.0000 2.8532 23.3617
Y 1.7736 0.0000 2.1177
Y 1.7736 0.0000 9.3258
Y 1.7736 0.0000 15.5723
Y 1.7736 0.0000 22.7804
Y 1.7736 2.8532 4.3094
Y 1.7736 2.8532 7.5241
Y 1.7736 2.8532 17.3739
Y 1.7736 2.8532 20.5887
Er 0.0000 0.0000 12.4490
! Formation energy: 168 meV per atom
! Raw total energy: -89.2 eV per cell

***

! PBE Ac2LaRe, optimized geometry; values from VASP
&SYSTEM
  ibrav = 0, nat = 4, ntyp = 3
/
ATOMIC_SPECIES
Ac 227.00 Ac.upf
La 138.91 La.upf
Re 186.21 Re.upf
CELL_PARAMETERS angstrom
1.9424 1.1214 10.5706
-1.9424 1.1214 10.5706
0.0000 -2.2429 10.5706
ATOMIC_POSITIONS angstrom
Ac 0.0000 0.0000 7.3357
Ac 0.0000 0.0000 24.3762
La 0.0000 0.0000 0.0000
Re 0.0000 0.0000 15.8559
! Formation energy: 586 meV per atom
! Raw total energy: -23.2 eV per cell

***

! PBE Zn3Au, optimized geometry; values from VASP
&SYSTEM
  ibrav = 0, nat = 8, ntyp = 2
/
ATOMIC_SPECIES
Zn 65.41 Zn.upf
Au 196.97 Au.upf
CELL_PARAMETERS angstrom
2.8260 -4.9746 0.0000
2.8260 4.9746 0.0000
0.0000 0.0000 4.4334
ATOMIC_POSITIONS angstrom
Zn 2.8260 4.1849 3.3250
Zn 1.3853 1.6118 3.3250
Zn 1.3853 -1.6118 1.1083
Zn 4.2668 1.6118 3.3250
Zn 4.2668 -1.6118 1.1083
Zn 2.8260 -4.1849 1.1083
Au 2.8260 0.9881 1.1083
Au 2.8260 -0.9881 3.3250
! Formation energy: -137 meV per atom
! Raw total energy: -15.3 eV per cell

***

! PBE KSr2Br, optimized geometry; values from VASP
&SYSTEM
  ibrav = 0, nat = 4, ntyp = 3
/
ATOMIC_SPECIES
K 39.10 K.upf
Sr 87.62 Sr.upf
Br 79.90 Br.upf
CELL_PARAMETERS angstrom
4.0001 0.0000 0.0000
0.0000 4.0001 0.0000
0.0000 0.0000 11.7341
ATOMIC_POSITIONS angstrom
K 0.0000 0.0000 0.0000
Sr 2.0000 2.0000 3.5271
Sr 2.0000 2.0000 8.2069
Br 0.0000 0.0000 5.8670
! Raw total energy: -8.3 eV per cell
! E_form (uncorrected): -0.5385 eV/atom

***

! PBE Tb12TlIn6, optimized geometry; values from VASP
&SYSTEM
  ibrav = 0, nat = 19, ntyp = 3
/
ATOMIC_SPECIES
Tb 158.93 Tb.upf
Tl 204.38 Tl.upf
In 114.82 In.upf
CELL_PARAMETERS angstrom
7.1498 4.1280 3.2694
-7.1498 4.1280 3.2694
0.0000 -8.2559 3.2694
ATOMIC_POSITIONS angstrom
Tb -2.5168 0.6810 2.2421
Tb -2.1395 -2.3968 4.0707
Tb 0.6686 -2.5201 2.2421
Tb -3.1454 0.6544 5.7376
Tb 1.8482 1.8391 2.2421
Tb -1.0060 3.0512 4.0707
Tb 1.0060 -3.0512 5.7376
Tb -1.8482 -1.8391 7.5662
Tb 3.1454 -0.6544 4.0707
Tb -0.6686 2.5201 7.5662
Tb 2.1395 2.3968 5.7376
Tb 2.5168 -0.6811 7.5662
Tl 0.0000 0.0000 4.9041
In -0.8288 -5.2389 4.1256
In -4.9514 -1.9017 5.6826
In -4.1227 3.3372 4.1256
In 4.1227 -3.3372 5.6826
In 4.9514 1.9017 4.1256
In 0.8288 5.2389 5.6826
! Formation energy: -138 meV per atom
! Raw total energy: -77.0 eV per cell

***

! PBE Zn5Ag7Au, optimized geometry; values from VASP
&SYSTEM
  ibrav = 0, nat = 13, ntyp = 3
/
ATOMIC_SPECIES
Zn 65.41 Zn.upf
Ag 107.87 Ag.upf
Au 196.97 Au.upf
CELL_PARAMETERS angstrom
-2.6405 4.5239 4.6842
2.6405 -4.5239 4.6842
2.6405 4.5239 -4.6842
ATOMIC_POSITIONS angstrom
Zn 0.0000 0.0000 0.0000
Zn 1.2936 2.2861 0.0967
Zn 1.3469 -2.2379 4.7809
Zn 1.2936 6.7618 0.0967
Zn 1.3469 2.2379 4.7809
Ag 2.6405 3.0185 -2.2617
Ag 2.6405 0.0000 3.4700
Ag 0.0000 1.5054 2.4225
Ag 0.0000 0.0000 4.8632
Ag 2.6405 2.8943 2.4658
Ag 0.0000 4.5239 1.8691
Ag 0.0000 1.6296 7.1500
Au 2.6405 0.0000 0.5763
! Formation energy: -20 meV per atom
! Raw total energy: -29.9 eV per cell

***

! PBE TbDy2Pd8, optimized geometry; values from VASP
&SYSTEM
  ibrav = 0, nat = 11, ntyp = 3
/
ATOMIC_SPECIES
Tb 158.93 Tb.upf
Dy 162.50 Dy.upf
Pd 106.42 Pd.upf
CELL_PARAMETERS angstrom
7.4239 -2.1040 0.0000
7.4239 2.1040 0.0000
-2.1458 0.0000 6.4273
ATOMIC_POSITIONS angstrom
Tb 0.0000 0.0000 0.0000
Dy 3.4777 0.0000 2.1461
Dy 9.2244 0.0000 4.2812
Pd 0.3878 0.0000 2.9020
Pd 0.6877 0.0000 5.8279
Pd 3.5615 0.0000 5.2669
Pd 6.2633 0.0000 1.8182
Pd 6.4388 0.0000 4.6091
Pd 9.1406 0.0000 1.1604
Pd 12.0144 0.0000 0.5994
Pd 12.3143 0.0000 3.5253
! Formation energy: -761 meV per atom
! Raw total energy: -63.8 eV per cell

***

! PBE KSb2Pd4, optimized geometry; values from VASP
&SYSTEM
  ibrav = 0, nat = 28, ntyp = 3
/
ATOMIC_SPECIES
K 39.10 K.upf
Sb 121.76 Sb.upf
Pd 106.42 Pd.upf
CELL_PARAMETERS angstrom
18.9951 0.0000 0.0000
0.0000 4.4786 0.0000
0.0000 0.0000 7.2661
ATOMIC_POSITIONS angstrom
K 2.6349 1.1196 0.2400
K 6.8627 3.3589 3.8731
K 12.1324 1.1196 3.3930
K 16.3602 3.3589 7.0261
Sb 0.7095 3.3589 5.3685
Sb 3.8639 1.1196 3.3222
Sb 5.6337 3.3589 6.9552
Sb 8.7880 1.1196 1.7354
Sb 10.2071 3.3589 5.5307
Sb 13.3614 1.1196 0.3109
Sb 15.1313 3.3589 3.9440
Sb 18.2856 1.1196 1.8976
Pd 0.2411 3.3589 0.8367
Pd 1.1964 1.1196 3.8347
Pd 3.3460 3.3589 4.7467
Pd 4.4641 3.3589 2.0407
Pd 5.0335 1.1196 5.6737
Pd 6.1515 1.1196 1.1136
Pd 8.3012 3.3589 0.2016
Pd 9.2565 1.1196 4.4697
Pd 9.7386 3.3589 2.7964
Pd 10.6940 1.1196 7.0645
Pd 12.8436 3.3589 6.1525
Pd 13.9616 3.3589 1.5924
Pd 14.5311 1.1196 5.2254
Pd 15.6491 1.1196 2.5194
Pd 17.7987 3.3589 3.4314
Pd 18.7540 1.1196 6.4294
! Raw total energy: -130.4 eV per cell
! E_form (uncorrected): -0.3556 eV/atom

***

! PBE Tb3Tl3BiTe8, optimized geometry; values from VASP
&SYSTEM
  ibrav = 0, nat = 15, ntyp = 4
/
ATOMIC_SPECIES
Tb 158.93 Tb.upf
Tl 204.38 Tl.upf
Bi 208.98 Bi.upf
Te 127.60 Te.upf
CELL_PARAMETERS angstrom
7.7390 -4.4667 0.0000
7.7390 4.4667 0.0000
-5.1670 0.0000 8.0086
ATOMIC_POSITIONS angstrom
Tb 0.0000 0.0000 0.0000
Tb 3.8695 2.2333 0.0000
Tb 3.8695 -2.2333 0.0000
Tl 1.2860 2.2333 4.0043
Tl 1.2860 -2.2333 4.0043
Tl 5.1555 0.0000 4.0043
Bi 7.7390 0.0000 0.0000
Te 6.4183 2.2862 1.7515
Te 2.5780 0.0000 1.7475
Te -0.0677 0.0000 6.2573
Te 3.8927 2.2862 6.2571
Te 6.4183 -2.2862 1.7515
Te 10.3787 0.0000 1.7513
Te 7.7330 0.0000 6.2612
Te 3.8927 -2.2862 6.2571
! Raw total energy: -62.8 eV per cell
! E_form (uncorrected): -0.8513 eV/atom

***

! PBE EuSc3Co, optimized geometry; values from VASP
&SYSTEM
  ibrav = 0, nat = 5, ntyp = 3
/
ATOMIC_SPECIES
Eu 151.96 Eu.upf
Sc 44.96 Sc.upf
Co 58.93 Co.upf
CELL_PARAMETERS angstrom
4.9922 0.0000 0.0000
0.0000 4.9922 0.0000
0.0000 0.0000 4.9922
ATOMIC_POSITIONS angstrom
Eu 0.0000 0.0000 0.0000
Sc 0.0000 2.4961 2.4961
Sc 2.4961 0.0000 2.4961
Sc 2.4961 2.4961 0.0000
Co 2.4961 2.4961 2.4961
! Formation energy: -89 meV per atom
! Raw total energy: -36.8 eV per cell

***

! PBE NaSm2, optimized geometry; values from VASP
&SYSTEM
  ibrav = 0, nat = 3, ntyp = 2
/
ATOMIC_SPECIES
Na 22.99 Na.upf
Sm 150.36 Sm.upf
CELL_PARAMETERS angstrom
-1.7725 1.7725 8.2632
1.7725 -1.7725 8.2632
1.7725 1.7725 -8.2632
ATOMIC_POSITIONS angstrom
Na 0.0000 0.0000 0.0000
Sm 0.0000 0.0000 5.3794
Sm 0.0000 0.0000 11.1471
! Formation energy: 132 meV per atom
! Raw total energy: -10.4 eV per cell